No. 1
Compound: Ho5ZrIr6
Source: the Alexandria database
Functional: GGA-PBE
Structure: relaxed

Cell lengths 4.7095, 7.0410, 7.4585 Å; angles 90.00, 71.60, 90.00 degrees
Sites, in units of the cell vectors:
Ir (0.8383, 0.7548, 0.3235)
Ir (0.8383, 0.2452, 0.3235)
Ir (0.5000, 0.2358, 0.0000)
Ir (0.5000, 0.7642, 0.0000)
Ir (0.1617, 0.7548, 0.6765)
Ir (0.1617, 0.2452, 0.6765)
Ho (0.6664, 0.5000, 0.6672)
Ho (0.3320, 0.0000, 0.3361)
Ho (0.0000, 0.5000, 0.0000)
Ho (0.6680, 0.0000, 0.6639)
Ho (0.3336, 0.5000, 0.3328)
Zr (0.0000, 0.0000, 0.0000)

Calculated values
space group: Cmmm (65)
crystal system: orthorhombic

No. 2
Compound: NaPmEu
Source: the Alexandria database
Functional: GGA-PBE
Structure: relaxed

Cell lengths 3.7040, 3.7040, 9.4613 Å; angles 90.00, 90.00, 120.00 degrees
Sites, in units of the cell vectors:
Eu (0.6667, 0.3333, 0.3442)
Na (0.0000, 0.0000, 0.9941)
Pm (0.3333, 0.6667, 0.6616)

Calculated values
space group: P3m1 (156)
crystal system: trigonal
offset from the most stable computed form: 0.0 meV/atom

No. 3
Compound: TlCdSi2Ge
Source: the Alexandria database
Functional: GGA-PBE
Structure: relaxed

Cell lengths 5.0932, 5.2842, 5.0932 Å; angles 90.00, 90.00, 90.00 degrees
Sites, in units of the cell vectors:
Tl (0.5000, 0.5000, 0.5000)
Si (0.0000, 0.0000, 0.5000)
Si (0.5000, 0.0000, 0.0000)
Ge (0.0000, 0.5000, 0.0000)
Cd (0.0000, 0.0000, 0.0000)

Calculated values
E_form (uncorrected): 95.6 kJ per mole of atoms
space group: P4/mmm (123)
crystal system: tetragonal

No. 4
Compound: CrReNi4
Source: the Alexandria database
Functional: GGA-PBE
Structure: relaxed

Cell lengths 4.6366, 4.6366, 4.6366 Å; angles 60.00, 60.00, 60.00 degrees
Sites, in units of the cell vectors:
Cr (0.0000, 0.0000, 0.0000)
Re (0.7500, 0.7500, 0.7500)
Ni (0.8743, 0.3752, 0.3752)
Ni (0.3752, 0.3752, 0.8743)
Ni (0.3752, 0.8743, 0.3752)
Ni (0.3752, 0.3752, 0.3752)

Calculated values
space group: F-43m (216)
crystal system: cubic
offset from the most stable computed form: 152.3 meV/atom

No. 5
Compound: ZrMnSb2
Source: the Alexandria database
Functional: GGA-PBE
Structure: relaxed

Cell lengths 3.7431, 3.7431, 6.2173 Å; angles 90.00, 90.00, 90.00 degrees
Sites, in units of the cell vectors:
Mn (0.5000, 0.5000, 0.7500)
Sb (0.0000, 0.0000, 0.9958)
Sb (0.0000, 0.0000, 0.5042)
Zr (0.5000, 0.5000, 0.2500)

Calculated values
E_form (uncorrected): -13.6 kJ per mole of atoms
space group: P4/mmm (123)
crystal system: tetragonal

No. 6
Compound: KSr2Br
Source: the Alexandria database
Functional: GGA-PBE
Structure: relaxed

Cell lengths 4.2117, 4.2117, 11.8628 Å; angles 90.00, 90.00, 114.49 degrees
Sites, in units of the cell vectors:
Br (0.0000, 0.0000, 0.4887)
K (0.5000, 0.5000, 0.6962)
Sr (0.0000, 0.0000, 0.0146)
Sr (0.5000, 0.5000, 0.3005)

Calculated values
E_form (uncorrected): -69.8 kJ per mole of atoms
space group: Cmm2 (35)
crystal system: orthorhombic

Sequential raw total energy output: -7.90 -5.32 -2.76 -7.41 -6.63 -2.26 eV per atom